(a)
Below is Pr2Y3Sn4 after structural relaxation, with properties calculated at the GGA-PBE level.

Cell and atoms, written as extended XYZ:
```
18
Lattice="8.3688 0.0000 0.0000 0.0000 8.3733 0.0000 -2.7896 0.0000 7.5760" Properties=species:S:1:pos:R:3 pbc="T T T"
Pr 1.4345 1.4869 0.4826
Pr 0.0398 2.6997 4.2705
Pr 5.5394 5.6735 3.3054
Pr 4.1447 6.8863 7.0934
Y 1.3914 5.5954 1.8397
Y -0.0033 6.9645 5.6277
Y 2.7896 0.0000 3.7880
Y 4.1844 4.1866 0.0000
Y 5.5825 1.4088 1.9483
Y 4.1878 2.7778 5.7363
Sn -1.6647 4.5145 6.3915
Sn -0.2699 8.0454 2.6035
Sn 1.6853 1.1241 6.5417
Sn 3.0801 3.0626 2.7537
Sn 2.4991 5.3107 4.8223
Sn 3.8939 7.2492 1.0343
Sn 5.8491 0.3279 4.9725
Sn 7.2439 3.8588 1.1845
```

## Properties
Its volume is 265.4 Å³/f.u. Its spin magnetization is 0.000 μB/atom.

***

(b)
Below is Pr2Y3Sn4 after structural relaxation, with properties calculated at the GGA-PBE level.

Cell and atoms, written as extended XYZ:
```
18
Lattice="3.5430 -8.6146 0.0000 3.5430 8.6146 0.0000 0.0000 0.0000 8.9677" Properties=species:S:1:pos:R:3 pbc="T T T"
Pr 3.5430 6.7093 8.1626
Pr 3.5430 1.9052 3.6788
Pr 3.5430 -1.9052 5.2889
Pr 3.5430 -6.7093 0.8050
Y 0.0000 0.0000 4.4838
Y 1.7715 3.5612 6.7258
Y 1.7715 -3.5612 2.2419
Y 3.5430 0.0000 0.0000
Y 5.3146 3.5612 6.7258
Y 5.3146 -3.5612 2.2419
Sn 3.5430 5.3997 4.9763
Sn 1.7715 0.5390 6.7258
Sn 1.7715 -0.5390 2.2419
Sn 3.5430 3.2149 0.4925
Sn 3.5430 -3.2149 8.4752
Sn 5.3146 0.5390 6.7258
Sn 5.3146 -0.5390 2.2419
Sn 3.5430 -5.3997 3.9914
```

## Properties
Its volume is 273.7 Å³/f.u. Its spin magnetization is 0.000 μB/atom.

***

Energies relative to the most stable structure, in kJ/mol of atoms: (a) 0.0; (b) 16.0.

***

(a)
Below is Pr4ZnSn after structural relaxation, with properties calculated at the GGA-PBE level.

Cell and atoms, written as extended XYZ:
```
24
Lattice="0.0000 7.2096 7.2096 7.2096 0.0000 7.2096 7.2096 7.2096 0.0000" Properties=species:S:1:pos:R:3 pbc="T T T"
Pr 3.6048 3.6048 0.8562
Pr 3.6048 0.8562 3.6048
Pr 6.3534 3.6048 3.6048
Pr 8.8730 5.5462 5.5462
Pr 7.2096 7.2096 2.7289
Pr 7.2096 2.7289 7.2096
Pr 11.6904 7.2096 7.2096
Pr 0.8562 3.6048 3.6048
Pr 3.6048 6.3534 3.6048
Pr 3.6048 3.6048 6.3534
Pr 5.5462 8.8730 5.5462
Pr 5.5462 5.5462 8.8730
Pr 8.8730 8.8730 8.8730
Pr 2.7289 7.2096 7.2096
Pr 7.2096 11.6904 7.2096
Pr 7.2096 7.2096 11.6904
Zn 5.7892 5.7892 5.7892
Zn 8.6301 8.6301 5.7892
Zn 8.6301 5.7892 8.6301
Zn 5.7892 8.6301 8.6301
Sn 12.1142 9.5147 9.5147
Sn 9.5147 12.1142 9.5147
Sn 9.5147 9.5147 12.1142
Sn 12.1142 12.1142 12.1142
```

## Properties
Its volume is 187.4 Å³/f.u. Its spin magnetization is 0.000 μB/atom.

***

(b)
Below is Pr4ZnSn after structural relaxation, with properties calculated at the GGA-PBE level.

Cell and atoms, written as extended XYZ:
```
12
Lattice="4.5162 -7.1582 0.0000 4.5162 7.1582 0.0000 -2.1948 0.0000 5.6426" Properties=species:S:1:pos:R:3 pbc="T T T"
Pr 1.4676 4.5063 5.2830
Pr 1.3577 1.2189 3.6401
Pr 4.2725 4.5063 3.1809
Pr 2.4551 -1.2189 0.8188
Pr 4.3824 1.2189 4.8239
Pr 2.5650 -4.5063 2.4617
Pr 5.4799 -1.2189 2.0026
Pr 5.3699 -4.5063 0.3596
Zn 3.9675 7.1414 1.4107
Zn 2.8701 -7.1414 4.2320
Sn 3.9675 1.6898 1.4107
Sn 2.8701 -1.6898 4.2320
```

## Properties
Its volume is 182.4 Å³/f.u. Its spin magnetization is 0.000 μB/atom.

***

Energies relative to the most stable structure, in kJ/mol of atoms: (a) 2.6; (b) 0.0.

***

(a)
Below is Pr4Zn2Sn after structural relaxation, with properties calculated at the GGA-PBE level.

Cell and atoms, written as extended XYZ:
```
7
Lattice="2.6311 1.5191 8.5144 -2.6311 1.5191 8.5144 0.0000 -3.0381 8.5144" Properties=species:S:1:pos:R:3 pbc="T T T"
Pr 0.0000 0.0000 2.9722
Pr 0.0000 0.0000 9.4121
Pr 0.0000 0.0000 16.1311
Pr 0.0000 0.0000 22.5710
Zn 0.0000 0.0000 6.3442
Zn 0.0000 0.0000 19.1990
Sn 0.0000 0.0000 12.7716
```

## Properties
Its volume is 204.2 Å³/f.u. Its spin magnetization is 0.000 μB/atom.

***

(b)
Below is Pr4Zn2Sn after structural relaxation, with properties calculated at the GGA-PBE level.

Cell and atoms, written as extended XYZ:
```
7
Lattice="2.5688 1.4831 9.5543 -2.5688 1.4831 9.5543 0.0000 -2.9662 9.5543" Properties=species:S:1:pos:R:3 pbc="T T T"
Pr 0.0000 0.0000 3.3792
Pr 0.0000 0.0000 8.6542
Pr 0.0000 0.0000 20.0086
Pr 0.0000 0.0000 25.2835
Zn 0.0000 0.0000 11.5869
Zn 0.0000 0.0000 17.0759
Sn 0.0000 0.0000 14.3314
```

## Properties
Its volume is 218.4 Å³/f.u. Its spin magnetization is 0.000 μB/atom.

***

Energies relative to the most stable structure, in kJ/mol of atoms: (a) 0.0; (b) 7.0.

***

(a)
Below is SrTb2Pr after structural relaxation, with properties calculated at the GGA-PBE level.

Cell and atoms, written as extended XYZ:
```
4
Lattice="1.8293 1.0561 12.9208 -1.8293 1.0561 12.9208 0.0000 -2.1123 12.9208" Properties=species:S:1:pos:R:3 pbc="T T T"
Sr 0.0000 0.0000 0.0000
Tb 0.0000 0.0000 3.5600
Tb 0.0000 0.0000 35.2023
Pr 0.0000 0.0000 19.3812
```

## Properties
Its volume is 149.8 Å³/f.u. Its spin magnetization is 0.000 μB/atom.

***

(b)
Below is SrTb2Pr after structural relaxation, with properties calculated at the GGA-PBE level.

Cell and atoms, written as extended XYZ:
```
4
Lattice="1.8623 1.0752 12.2677 -1.8623 1.0752 12.2677 0.0000 -2.1504 12.2677" Properties=species:S:1:pos:R:3 pbc="T T T"
Sr 0.0000 0.0000 0.0000
Tb 0.0000 0.0000 9.0298
Tb 0.0000 0.0000 15.5459
Pr 0.0000 0.0000 30.7071
```

## Properties
Its volume is 147.4 Å³/f.u. Its spin magnetization is 0.000 μB/atom.

***

(c)
Below is SrTb2Pr after structural relaxation, with properties calculated at the GGA-PBE level.

Cell and atoms, written as extended XYZ:
```
4
Lattice="3.7384 0.0000 0.0000 0.0000 3.7384 0.0000 0.0000 0.0000 10.6946" Properties=species:S:1:pos:R:3 pbc="T T T"
Sr 0.0000 0.0000 0.0000
Tb 1.8692 1.8692 2.9405
Tb 1.8692 1.8692 7.7541
Pr 0.0000 0.0000 5.3473
```

## Properties
Its volume is 149.5 Å³/f.u. Its spin magnetization is 0.000 μB/atom.

***

(d)
Below is SrTb2Pr after structural relaxation, with properties calculated at the GGA-PBE level.

Cell and atoms, written as extended XYZ:
```
4
Lattice="5.2715 0.0000 0.0000 0.0000 5.2715 0.0000 0.0000 0.0000 5.2639" Properties=species:S:1:pos:R:3 pbc="T T T"
Sr 0.0000 0.0000 0.0000
Tb 0.0000 2.6358 2.6320
Tb 2.6358 0.0000 2.6320
Pr 2.6358 2.6358 0.0000
```

## Properties
Its volume is 146.3 Å³/f.u. Its spin magnetization is 0.000 μB/atom.

***

Energies relative to the most stable structure, in kJ/mol of atoms: (a) 9.8; (b) 0.0; (c) 0.7; (d) 6.3.

***

(a)
Below is SrTbPr2 after structural relaxation, with properties calculated at the GGA-PBE level.

Cell and atoms, written as extended XYZ:
```
4
Lattice="0.0000 4.2425 4.2425 4.2425 0.0000 4.2425 4.2425 4.2425 0.0000" Properties=species:S:1:pos:R:3 pbc="T T T"
Sr 0.0000 0.0000 0.0000
Tb 4.2425 4.2425 4.2425
Pr 2.1212 2.1212 2.1212
Pr 6.3637 6.3637 6.3637
```

## Properties
Its volume is 152.7 Å³/f.u. Its spin magnetization is 0.000 μB/atom.

***

(b)
Below is SrTbPr2 after structural relaxation, with properties calculated at the GGA-PBE level.

Cell and atoms, written as extended XYZ:
```
4
Lattice="5.3426 0.0000 0.0000 0.0000 5.3426 0.0000 0.0000 0.0000 5.2904" Properties=species:S:1:pos:R:3 pbc="T T T"
Sr 0.0000 0.0000 0.0000
Tb 2.6713 2.6713 0.0000
Pr 0.0000 2.6713 2.6452
Pr 2.6713 0.0000 2.6452
```

## Properties
Its volume is 151.0 Å³/f.u. Its spin magnetization is 0.000 μB/atom.

***

(c)
Below is SrTbPr2 after structural relaxation, with properties calculated at the GGA-PBE level.

Cell and atoms, written as extended XYZ:
```
4
Lattice="3.7621 0.0000 0.0000 0.0000 3.7621 0.0000 0.0000 0.0000 10.8220" Properties=species:S:1:pos:R:3 pbc="T T T"
Sr 0.0000 0.0000 0.0000
Tb 0.0000 0.0000 5.4110
Pr 1.8811 1.8811 2.9908
Pr 1.8811 1.8811 7.8312
```

## Properties
Its volume is 153.2 Å³/f.u. Its spin magnetization is 0.000 μB/atom.

***

Energies relative to the most stable structure, in kJ/mol of atoms: (a) 12.0; (b) 7.3; (c) 0.0.

***

(a)
Below is SrTbPr after structural relaxation, with properties calculated at the GGA-PBE level.

Cell and atoms, written as extended XYZ:
```
6
Lattice="4.2116 0.0000 0.0000 0.0000 4.2116 0.0000 0.0000 0.0000 13.7398" Properties=species:S:1:pos:R:3 pbc="T T T"
Sr 0.0000 0.0000 0.0000
Sr 2.1058 2.1058 3.0797
Tb 2.1058 2.1058 7.5515
Tb 2.1058 2.1058 11.2796
Pr 0.0000 0.0000 5.7151
Pr 0.0000 0.0000 9.4053
```

## Properties
Its volume is 121.9 Å³/f.u. Its spin magnetization is 0.000 μB/atom.

***

(b)
Below is SrTbPr after structural relaxation, with properties calculated at the GGA-PBE level.

Cell and atoms, written as extended XYZ:
```
3
Lattice="-1.8968 1.8968 8.1678 1.8968 -1.8968 8.1678 1.8968 1.8968 -8.1678" Properties=species:S:1:pos:R:3 pbc="T T T"
Sr 0.0000 0.0000 0.0000
Tb 0.0000 0.0000 5.2743
Pr 0.0000 0.0000 11.1372
```

## Properties
Its volume is 117.6 Å³/f.u. Its spin magnetization is 0.000 μB/atom.

***

Energies relative to the most stable structure, in kJ/mol of atoms: (a) 1.4; (b) 0.0.

***

(a)
Below is Sr2PrTl after structural relaxation, with properties calculated at the GGA-PBE level.

Cell and atoms, written as extended XYZ:
```
4
Lattice="1.9436 1.1221 12.6234 -1.9436 1.1221 12.6234 0.0000 -2.2443 12.6234" Properties=species:S:1:pos:R:3 pbc="T T T"
Sr 0.0000 0.0000 3.7097
Sr 0.0000 0.0000 34.1606
Pr 0.0000 0.0000 0.0000
Tl 0.0000 0.0000 18.9352
```

## Properties
Its volume is 165.2 Å³/f.u. Its spin magnetization is 0.153 μB/atom.

***

(b)
Below is Sr2PrTl after structural relaxation, with properties calculated at the GGA-PBE level.

Cell and atoms, written as extended XYZ:
```
4
Lattice="3.8449 0.0000 0.0000 0.0000 3.8449 0.0000 0.0000 0.0000 10.5380" Properties=species:S:1:pos:R:3 pbc="T T T"
Sr 0.0000 0.0000 2.2367
Sr 0.0000 0.0000 8.3013
Pr 1.9225 1.9225 5.2690
Tl 1.9225 1.9225 0.0000
```

## Properties
Its volume is 155.8 Å³/f.u. Its spin magnetization is 0.000 μB/atom.

***

(c)
Below is Sr2PrTl after structural relaxation, with properties calculated at the GGA-PBE level.

Cell and atoms, written as extended XYZ:
```
4
Lattice="5.1752 0.0000 0.0000 0.0000 5.1752 0.0000 0.0000 0.0000 5.5290" Properties=species:S:1:pos:R:3 pbc="T T T"
Sr 0.0000 2.5876 0.0000
Sr 2.5876 0.0000 0.0000
Pr 0.0000 0.0000 2.7645
Tl 2.5876 2.5876 2.7645
```

## Properties
Its volume is 148.1 Å³/f.u. Its spin magnetization is 0.000 μB/atom.

***

Energies relative to the most stable structure, in kJ/mol of atoms: (a) 18.0; (b) 0.0; (c) 1.5.

***

(a)
Below is SrPrTl4 after structural relaxation, with properties calculated at the GGA-PBE level.

Cell and atoms, written as extended XYZ:
```
6
Lattice="4.4428 -2.5785 0.0000 4.4428 2.5785 0.0000 -0.0411 0.0000 8.3485" Properties=species:S:1:pos:R:3 pbc="T T T"
Sr 0.0000 0.0000 0.0000
Pr -0.0206 0.0000 4.1742
Tl 2.9471 0.0000 2.7487
Tl 2.9321 0.0000 6.5671
Tl 5.9125 0.0000 1.7814
Tl 5.8974 0.0000 5.5997
```

## Properties
Its volume is 191.3 Å³/f.u. Its spin magnetization is 0.000 μB/atom.

***

(b)
Below is SrPrTl4 after structural relaxation, with properties calculated at the GGA-PBE level.

Cell and atoms, written as extended XYZ:
```
6
Lattice="0.0000 4.5216 4.5216 4.5216 0.0000 4.5216 4.5216 4.5216 0.0000" Properties=species:S:1:pos:R:3 pbc="T T T"
Sr 0.0000 0.0000 0.0000
Pr 2.2608 2.2608 2.2608
Tl 5.6476 3.3956 3.3956
Tl 3.3956 5.6476 3.3956
Tl 3.3956 3.3956 5.6476
Tl 5.6476 5.6476 5.6476
```

## Properties
Its volume is 184.9 Å³/f.u. Its spin magnetization is 0.000 μB/atom.

***

Energies relative to the most stable structure, in kJ/mol of atoms: (a) 0.0; (b) 11.2.

***

(a)
Below is Sr2Pr2Tl3 after structural relaxation, with properties calculated at the GGA-PBE level.

Cell and atoms, written as extended XYZ:
```
7
Lattice="3.9764 -7.8936 0.0000 3.9764 7.8936 0.0000 -3.7435 0.0000 3.9745" Properties=species:S:1:pos:R:3 pbc="T T T"
Sr 3.9764 6.0238 0.0000
Sr 3.9764 -6.0238 0.0000
Pr 3.9764 2.0086 0.0000
Pr 3.9764 -2.0086 0.0000
Tl 2.1046 3.9473 1.9872
Tl 2.1046 0.0000 1.9872
Tl 2.1046 -3.9473 1.9872
```

## Properties
Its volume is 249.5 Å³/f.u. Its spin magnetization is 0.000 μB/atom.

***

(b)
Below is Sr2Pr2Tl3 after structural relaxation, with properties calculated at the GGA-PBE level.

Cell and atoms, written as extended XYZ:
```
7
Lattice="2.7629 1.5952 9.4580 -2.7629 1.5952 9.4580 0.0000 -3.1903 9.4580" Properties=species:S:1:pos:R:3 pbc="T T T"
Sr 0.0000 0.0000 3.6284
Sr 0.0000 0.0000 24.7455
Pr 0.0000 0.0000 10.7022
Pr 0.0000 0.0000 17.6717
Tl 0.0000 0.0000 0.0000
Tl 0.0000 0.0000 7.1950
Tl 0.0000 0.0000 21.1789
```

## Properties
Its volume is 250.1 Å³/f.u. Its spin magnetization is 0.000 μB/atom.

***

Energies relative to the most stable structure, in kJ/mol of atoms: (a) 0.9; (b) 0.0.

***

(a)
Below is SrPrY after structural relaxation, with properties calculated at the GGA-PBE level.

Cell and atoms, written as extended XYZ:
```
3
Lattice="-1.8997 1.8997 8.1616 1.8997 -1.8997 8.1616 1.8997 1.8997 -8.1616" Properties=species:S:1:pos:R:3 pbc="T T T"
Sr 0.0000 0.0000 0.0000
Pr 0.0000 0.0000 11.1157
Y 0.0000 0.0000 5.2652
```

## Properties
Its volume is 117.8 Å³/f.u. Its spin magnetization is 0.000 μB/atom.

***

(b)
Below is SrPrY after structural relaxation, with properties calculated at the GGA-PBE level.

Cell and atoms, written as extended XYZ:
```
3
Lattice="3.7922 0.0000 0.0000 -1.8961 3.2842 0.0000 0.0000 0.0000 9.4236" Properties=species:S:1:pos:R:3 pbc="T T T"
Sr 0.0000 0.0000 0.0000
Pr 0.0000 2.1894 6.0397
Y 1.8961 1.0947 3.2567
```

## Properties
Its volume is 117.4 Å³/f.u. Its spin magnetization is 0.000 μB/atom.

***

(c)
Below is SrPrY after structural relaxation, with properties calculated at the GGA-PBE level.

Cell and atoms, written as extended XYZ:
```
6
Lattice="6.0031 -1.8013 0.0000 6.0031 1.8013 0.0000 -5.6304 0.0000 11.1436" Properties=species:S:1:pos:R:3 pbc="T T T"
Sr -1.2707 0.0000 4.4588
Sr 7.6465 0.0000 6.6848
Pr -1.1783 0.0000 8.6744
Pr 7.5541 0.0000 2.4692
Y 4.2684 0.0000 0.9221
Y 2.1073 0.0000 10.2216
```

## Properties
Its volume is 120.5 Å³/f.u. Its spin magnetization is 0.000 μB/atom.

***

Energies relative to the most stable structure, in kJ/mol of atoms: (a) 0.0; (b) 1.4; (c) 13.8.